# CaIr3F, optimized geometry, DFT PBE-GGA
data_CaIr3F
_chemical_formula_sum 'Ca1 Ir3 F1'
_space_group_name_H-M_alt 'P m -3 m'
_space_group_IT_number 221
_space_group_name_Hall '-P 4 2 3'
_cell_length_a 4.390
_cell_length_b 4.390
_cell_length_c 4.390
_cell_angle_alpha 90.00
_cell_angle_beta 90.00
_cell_angle_gamma 90.00
loop_
_atom_site_label
_atom_site_type_symbol
_atom_site_fract_x
_atom_site_fract_y
_atom_site_fract_z
Ca1 Ca 0.000 0.000 0.000
Ir1 Ir 0.000 0.500 0.500
F1 F 0.500 0.500 0.500
# - DOS(E_F) (states/eV/cell) = 6.96
# - distance to the lowest polymorph of the same formula (meV per atom) = 0
# - total DFT energy (no corrections) (eV/atom) = -5.328
# - formation energy from raw total energies (kJ/mol of atoms) = 73.6

=====

# CaIrF, optimized geometry, DFT PBE-GGA
data_CaIrF
_chemical_formula_sum 'Ca4 Ir4 F4'
_space_group_name_H-M_alt 'C 1 2 1'
_space_group_IT_number 5
_space_group_name_Hall 'C 2y'
_cell_length_a 5.011
_cell_length_b 5.092
_cell_length_c 8.489
_cell_angle_alpha 90.00
_cell_angle_beta 106.94
_cell_angle_gamma 90.00
loop_
_atom_site_label
_atom_site_type_symbol
_atom_site_fract_x
_atom_site_fract_y
_atom_site_fract_z
Ca1 Ca 0.152 0.000 0.306
Ir1 Ir 0.250 0.253 0.000
F1 F 0.204 0.538 0.404
# - DOS(E_F) (states/eV/cell) = 8.00
# - distance to the lowest polymorph of the same formula (meV per atom) = 85
# - total DFT energy (no corrections) (eV/atom) = -6.091
# - formation energy from raw total energies (kJ/mol of atoms) = -178.2

=====

# CaIrF, optimized geometry, DFT PBE-GGA
data_CaIrF
_chemical_formula_sum 'Ca2 Ir2 F2'
_space_group_name_H-M_alt 'P 63/m m c'
_space_group_IT_number 194
_space_group_name_Hall '-P 6c 2c'
_cell_length_a 3.6686
_cell_length_b 3.6686
_cell_length_c 9.9783
_cell_angle_alpha 90.00
_cell_angle_beta 90.00
_cell_angle_gamma 120.00
loop_
_atom_site_label
_atom_site_type_symbol
_atom_site_fract_x
_atom_site_fract_y
_atom_site_fract_z
Ca1 Ca 0.3333 0.6667 0.2500
Ir1 Ir 0.0000 0.0000 0.0000
F1 F 0.0000 0.0000 0.2500
# - DOS(E_F) (states/eV/cell) = 5.90
# - distance to the lowest polymorph of the same formula (meV per atom) = 1286
# - total DFT energy (no corrections) (eV/atom) = -4.891
# - formation energy from raw total energies (kJ/mol of atoms) = -62.3

=====

> Among the records above, which one has the highest total DFT energy (no corrections)?

number 3